The following is a DFT calculation (PBE) of crystalline ZrZnRe2F at its relaxed geometry.

Summary:
magnetic moment = 0.00 μB per formula unit
energy relative to the elements, uncorrected = 591.2 meV per atom

Cell lengths 4.2729, 4.3157, 4.2729 Å; angles 90.00, 90.00, 90.00 degrees
Fractional coordinates of all 5 atoms:
Re 0.5000 0.0000 0.0000
Zr 0.0000 0.5000 0.0000
Re 0.0000 0.0000 0.5000
Zn 0.5000 0.5000 0.5000
F 0.0000 0.0000 0.0000